Computed, not measured: a crystal of BaCaCrAu2 relaxed with PBEsol at the SCAN level of DFT.

**Energy of formation**: 556 meV per atom
**N(E_F)**: 2.9 states/eV per cell
**Spin magnetization**: 5.19 Bohr magnetons per cell

Geometry as CIF:
```
data_BaCaCrAu2
_cell_length_a 5.708
_cell_length_b 5.708
_cell_length_c 5.679
_cell_angle_alpha 90.00
_cell_angle_beta 90.00
_cell_angle_gamma 90.00
_space_group_name_H-M_alt 'P 4/m m m'
_space_group_IT_number 123
_space_group_name_Hall '-P 4 2'
loop_
_atom_site_label
_atom_site_fract_x
_atom_site_fract_y
_atom_site_fract_z
_atom_site_occupancy
Ba1 0.000 0.000 0.000 1
Ca1 0.500 0.500 0.500 1
Cr1 0.000 0.000 0.500 1
Au1 0.000 0.500 0.000 1
```